Material: Ce2MnZn
Method: DFT, PBE
State: optimized geometry

The structure belongs to space group P4/mmm (No. 123); the cell edges are 3.2990, 3.2990 and 7.6997 Å and the angles 90.00°, 90.00° and 90.00°. The distinct sites, in fractional coordinates, are Ce at (0.0000, 0.0000, 0.2183), Mn at (0.5000, 0.5000, 0.0000) and Zn at (0.5000, 0.5000, 0.5000).

The offset from the most stable computed form is 3 meV per atom. Its density is 7.9 g/cm3. The calculation puts the total energy at -5.529 eV per atom.